The following is a GGA-PBE calculation of a relaxed structure of LiSbTe2H, from Alexandria.

a b c (Å): 5.337 5.337 4.006
angles (deg): 90.00 90.00 90.00
Space group P4/mmm (No. 123)
Unique sites:
Li 0.000 0.000 0.000
Sb 0.500 0.500 0.000
Te 0.000 0.500 0.500
H 0.500 0.500 0.500

Values from the calculation:
ΔE to the lowest computed polymorph	0.00	kJ/mol of atoms